Entry 1:
DFT (GGA-PBE) results for a relaxed Hf4Zr4Sc3 crystal.

Values from the calculation:
Density (g/cm³): 7.8
ΔE_f (kJ per mole of atoms): 16
Size of the total moment (μB/atom): 0.00
DOS at the Fermi energy (states/eV per cell): 30.97

a = 9.608 Å, b = 5.012 Å, c = 10.685 Å
α = 90.00°, β = 90.00°, γ = 90.00°
Space group Amm2 (No. 38)
One atom of each set of equivalent atoms:
Hf 0.000 0.000 0.000 (multiplicity 2)
Hf 0.204 0.000 0.482 (multiplicity 4)
Hf 0.500 0.000 0.926 (multiplicity 2)
Zr 0.000 0.000 0.283 (multiplicity 2)
Zr 0.287 0.000 0.125 (multiplicity 4)
Zr 0.500 0.000 0.328 (multiplicity 2)
Sc 0.206 0.000 0.785 (multiplicity 4)
Sc 0.500 0.000 0.627 (multiplicity 2)

=====

Entry 2:
DFT (GGA-PBE) results for a relaxed GaO2F crystal.

Values from the calculation:
Density (g/cm³): 3.6
Size of the total moment (μB/atom): 0.50
Formation energy without anion corrections (eV per atom): -0.672
DOS at the Fermi energy (states/eV per cell): 7.90

a = 4.907 Å, b = 4.907 Å, c = 9.258 Å
α = 90.00°, β = 90.00°, γ = 90.00°
Space group I-42d (No. 122)
One atom of each set of equivalent atoms:
Ga 0.000 0.000 0.000 (multiplicity 4)
O 0.156 0.250 0.125 (multiplicity 8)
F 0.000 0.000 0.500 (multiplicity 4)

=====

Entry 3:
DFT (GGA-PBE) results for a relaxed ReIrRh crystal.

Values from the calculation:
Density (g/cm³): 15.3
ΔE_f (kJ per mole of atoms): 60
Size of the total moment (μB/atom): 0.00
DOS at the Fermi energy (states/eV per cell): 19.21

a = 5.929 Å, b = 5.929 Å, c = 5.929 Å
α = 90.00°, β = 90.00°, γ = 90.00°
Space group F-43m (No. 216)
One atom of each set of equivalent atoms:
Re 0.000 0.000 0.000 (multiplicity 4)
Ir 0.250 0.250 0.750 (multiplicity 4)
Rh 0.000 0.000 0.500 (multiplicity 4)